[1]
A relaxed Cr2Ru crystal. Source: Alexandria via LeMat-Bulk, functional PBEsol.

The value obtained for the total DFT energy (no corrections) is -10.1840 eV per atom. The calculation puts the theoretical density at 9.6 g cm⁻³. For the density of states at the Fermi level, the calculation gives 0.77 states/eV per atom. For the formation energy, the calculation gives 0.10 eV/f.u.

The structure belongs to space group Fd-3m (No. 227, origin choice 2); the cell edges are 6.580, 6.580 and 6.580 Å and the angles 90.00°, 90.00° and 90.00°. Symmetry generates all atoms from Cr at (0.000, 0.000, 0.000) and Ru at (0.125, 0.125, 0.625).

=====

[2]
A relaxed CrRu5 crystal. Source: Alexandria via LeMat-Bulk, functional PBEsol.

The value obtained for the total DFT energy (no corrections) is -10.1746 eV per atom. The calculation puts the theoretical density at 11.9 g cm⁻³. For the density of states at the Fermi level, the calculation gives 0.88 states/eV per atom. For the formation energy, the calculation gives 0.06 eV/f.u.

The structure belongs to space group Cm (No. 8); the cell edges are 9.589, 2.673 and 6.246 Å and the angles 90.00°, 103.63° and 90.00°. Symmetry generates all atoms from Cr at (0.000, 0.000, 0.000), Ru at (0.056, 0.000, 0.615), Ru at (0.167, 0.500, 0.332), Ru at (0.221, 0.500, 0.948), Ru at (0.336, 0.000, 0.673) and Ru at (0.391, 0.000, 0.273).

=====

[3]
A relaxed Cr3Ru crystal. Source: Alexandria via LeMat-Bulk, functional PBEsol.

The value obtained for the total DFT energy (no corrections) is -10.1422 eV per atom. The calculation puts the theoretical density at 9.1 g cm⁻³. For the density of states at the Fermi level, the calculation gives 0.91 states/eV per atom. For the formation energy, the calculation gives 0.33 eV/f.u.

The structure belongs to space group P4/mmm (No. 123); the cell edges are 2.838, 2.838 and 5.852 Å and the angles 90.00°, 90.00° and 90.00°. Symmetry generates all atoms from Cr at (0.000, 0.000, 0.000), Cr at (0.500, 0.500, 0.229) and Ru at (0.000, 0.000, 0.500).

=====

[4]
A relaxed Cr2Ru crystal. Source: Alexandria via LeMat-Bulk, functional PBEsol.

The value obtained for the total DFT energy (no corrections) is -10.1205 eV per atom. The calculation puts the theoretical density at 9.4 g cm⁻³. For the density of states at the Fermi level, the calculation gives 1.10 states/eV per atom. For the formation energy, the calculation gives 0.29 eV/f.u.

The structure belongs to space group P4_2/mnm (No. 136); the cell edges are 8.938, 8.938 and 4.546 Å and the angles 90.00°, 90.00° and 90.00°. Symmetry generates all atoms from Cr at (0.065, 0.259, 0.000), Cr at (0.097, 0.097, 0.500), Cr at (0.186, 0.814, 0.256), Ru at (0.000, 0.000, 0.000) and Ru at (0.039, 0.359, 0.500).

=====

[5]
A relaxed Cr2Ru crystal. Source: Alexandria via LeMat-Bulk, functional PBEsol.

The value obtained for the total DFT energy (no corrections) is -10.1623 eV per atom. The calculation puts the theoretical density at 9.6 g cm⁻³. For the density of states at the Fermi level, the calculation gives 0.91 states/eV per atom. For the formation energy, the calculation gives 0.17 eV/f.u.

The structure belongs to space group P6_3/mmc (No. 194); the cell edges are 4.6625, 4.6625 and 15.1431 Å and the angles 90.00°, 90.00° and 120.00°. Symmetry generates all atoms from Cr at (0.0000, 0.5000, 0.0000), Cr at (0.1631, 0.3261, 0.2500), Cr at (0.3333, 0.6667, 0.1242), Ru at (0.0000, 0.0000, 0.0942) and Ru at (0.3333, 0.6667, 0.6563).

=====

[6]
A relaxed CrRuS3 crystal. Source: Alexandria via LeMat-Bulk, functional PBEsol.

The value obtained for the total DFT energy (no corrections) is -6.1332 eV per atom. The raw formation energy is 0.580 eV per atom. The calculation puts the theoretical density at 4.4 g cm⁻³. For the density of states at the Fermi level, the calculation gives 1.45 states/eV per atom.

The structure belongs to space group Pm-3m (No. 221); the cell edges are 4.551, 4.551 and 4.551 Å and the angles 90.00°, 90.00° and 90.00°. Symmetry generates all atoms from Cr at (0.000, 0.000, 0.000), Ru at (0.500, 0.500, 0.500) and S at (0.000, 0.500, 0.500).

=====

[7]
A relaxed CrSbRu2 crystal. Source: Alexandria via LeMat-Bulk, functional PBEsol.

The value obtained for the total DFT energy (no corrections) is -8.6157 eV per atom. The raw formation energy is 0.170 eV per atom. The calculation puts the theoretical density at 10.6 g cm⁻³. For the density of states at the Fermi level, the calculation gives 0.87 states/eV per atom.

The structure belongs to space group Cm (No. 8); the cell edges are 9.123, 3.005 and 4.491 Å and the angles 90.00°, 106.94° and 90.00°. Symmetry generates all atoms from Cr at (0.000, 0.000, 0.000), Sb at (0.248, 0.500, 0.359), Ru at (0.268, 0.000, 0.885) and Ru at (0.495, 0.000, 0.519).

=====

[8]
A relaxed CrSb2Ru crystal. Source: Alexandria via LeMat-Bulk, functional PBEsol.

The value obtained for the total DFT energy (no corrections) is -7.1906 eV per atom. The raw formation energy is 0.192 eV per atom. The calculation puts the theoretical density at 9.2 g cm⁻³. The value obtained for the energy above the lowest structure with this stoichiometry is 0 meV per atom. For the density of states at the Fermi level, the calculation gives 0.80 states/eV per atom.

The structure belongs to space group Pmm2 (No. 25); the cell edges are 3.237, 3.990 and 5.526 Å and the angles 90.00°, 90.00° and 90.00°. Symmetry generates all atoms from Cr at (0.000, 0.000, 0.000), Sb at (0.000, 0.000, 0.486), Sb at (0.500, 0.500, 0.851) and Ru at (0.500, 0.500, 0.335).

=====

[9]
A relaxed CrSbRu2 crystal. Source: Alexandria via LeMat-Bulk, functional PBEsol.

The value obtained for the total DFT energy (no corrections) is -8.5247 eV per atom. The raw formation energy is 0.261 eV per atom. The calculation puts the theoretical density at 10.5 g cm⁻³. For the density of states at the Fermi level, the calculation gives 0.99 states/eV per atom.

The structure belongs to space group Pmm2 (No. 25); the cell edges are 2.930, 3.781 and 5.391 Å and the angles 90.00°, 90.00° and 90.00°. Symmetry generates all atoms from Cr at (0.000, 0.000, 0.000), Sb at (0.500, 0.500, 0.310), Ru at (0.000, 0.000, 0.526) and Ru at (0.500, 0.500, 0.827).

=====

[10]
A relaxed CrSbRu2 crystal. Source: Alexandria via LeMat-Bulk, functional PBEsol.

The value obtained for the total DFT energy (no corrections) is -8.6341 eV per atom. The raw formation energy is 0.152 eV per atom. The calculation puts the theoretical density at 10.7 g cm⁻³. For the density of states at the Fermi level, the calculation gives 0.76 states/eV per atom.

The structure belongs to space group I-4m2 (No. 119); the cell edges are 3.816, 3.816 and 8.003 Å and the angles 90.00°, 90.00° and 90.00°. Symmetry generates all atoms from Cr at (0.000, 0.000, 0.000), Sb at (0.000, 0.500, 0.750), Ru at (0.000, 0.000, 0.500) and Ru at (0.000, 0.500, 0.250).

=====

[11]
A relaxed CrSb2Ru crystal. Source: Alexandria via LeMat-Bulk, functional PBEsol.

The value obtained for the total DFT energy (no corrections) is -7.1603 eV per atom. The raw formation energy is 0.222 eV per atom. The calculation puts the theoretical density at 10.1 g cm⁻³. The value obtained for the energy above the lowest structure with this stoichiometry is 30 meV per atom. For the density of states at the Fermi level, the calculation gives 0.43 states/eV per atom.

The structure belongs to space group Fm-3m (No. 225); the cell edges are 6.380, 6.380 and 6.380 Å and the angles 90.00°, 90.00° and 90.00°. Symmetry generates all atoms from Cr at (0.000, 0.000, 0.000), Sb at (0.250, 0.250, 0.250) and Ru at (0.000, 0.000, 0.500).

=====

[12]
A relaxed Cr2SbRu crystal. Source: Alexandria via LeMat-Bulk, functional PBEsol.

The value obtained for the total DFT energy (no corrections) is -8.2206 eV per atom. The raw formation energy is 0.583 eV per atom. The calculation puts the theoretical density at 9.4 g cm⁻³. For the density of states at the Fermi level, the calculation gives 1.27 states/eV per atom.

The structure belongs to space group R-3m (No. 166, hexagonal axes); the cell edges are 2.8454, 2.8454 and 24.6554 Å and the angles 90.00°, 90.00° and 120.00°. Symmetry generates all atoms from Cr at (0.0000, 0.0000, 0.2456), Sb at (0.0000, 0.0000, 0.0000) and Ru at (0.0000, 0.0000, 0.5000).